The following is a PBE-GGA calculation of crystalline URhSe4 at its relaxed geometry, from Alexandria.

Calculated values
Formation energy (no corrections) = -0.814 eV per atom
E_tot = -6.2432 eV per atom

a b c (Å): 13.4288 3.9004 5.9703
angles (deg): 90.00 96.88 90.00
Space group C2/m (No. 12)
Inequivalent atoms, fractional coordinates:
U (0.0000, 0.0000, 0.0000)
Rh (0.0000, 0.5000, 0.5000)
Se (0.1134, 0.0000, 0.4053)
Se (0.1248, 0.5000, 0.8629)


The following is a PBE-GGA calculation of crystalline URhSe at its relaxed geometry, from Alexandria.

Calculated values
Formation energy (no corrections) = -0.743 eV per atom
Relative energy among the computed polymorphs = 0.000 eV per atom
E_tot = -8.1181 eV per atom

a b c (Å): 3.6932 3.6932 8.9574
angles (deg): 90.00 90.00 90.00
Space group P4/nmm (No. 129, origin choice 2)
Inequivalent atoms, fractional coordinates:
U (0.2500, 0.2500, 0.2339)
Rh (0.2500, 0.2500, 0.9261)
Se (0.2500, 0.2500, 0.6241)


The following is a PBE-GGA calculation of crystalline URh2Se6 at its relaxed geometry, from Alexandria.

Calculated values
Formation energy (no corrections) = -0.709 eV per atom
E_tot = -5.9197 eV per atom

a b c (Å): 14.9587 3.8210 8.1921
angles (deg): 90.00 111.66 90.00
Space group C2/m (No. 12)
Inequivalent atoms, fractional coordinates:
U (0.0000, 0.0000, 0.0000)
Rh (0.1591, 0.5000, 0.3117)
Se (0.0224, 0.5000, 0.7772)
Se (0.1639, 0.0000, 0.5172)
Se (0.1922, 0.0000, 0.1340)


The following is a PBE-GGA calculation of crystalline U12Rh4Se31 at its relaxed geometry, from Alexandria.

Calculated values
Formation energy (no corrections) = -1.032 eV per atom
E_tot = -6.8377 eV per atom

a b c (Å): 13.6560 13.6560 13.7173
angles (deg): 90.00 90.00 90.00
Space group I4/mmm (No. 139)
Inequivalent atoms, fractional coordinates:
U (0.0000, 0.2959, 0.2050)
U (0.1997, 0.1997, 0.0000)
Rh (0.2500, 0.2500, 0.2500)
Se (0.0000, 0.0000, 0.0000)
Se (0.0000, 0.2672, 0.0000)
Se (0.0000, 0.5000, 0.2500)
Se (0.1257, 0.1257, 0.1845)
Se (0.1273, 0.3092, 0.3725)


The following is a PBE-GGA calculation of crystalline U2RhSe4 at its relaxed geometry, from Alexandria.

Calculated values
Formation energy (no corrections) = -0.839 eV per atom
E_tot = -7.1054 eV per atom

a b c (Å): 14.1642 3.9724 6.9244
angles (deg): 90.00 118.95 90.00
Space group C2/m (No. 12)
Inequivalent atoms, fractional coordinates:
U (0.2409, 0.0000, 0.2440)
Rh (0.0000, 0.5000, 0.5000)
Se (0.1115, 0.5000, 0.2949)
Se (0.1173, 0.0000, 0.7700)


The following is a PBE-GGA calculation of crystalline URh2Se5 at its relaxed geometry, from Alexandria.

Calculated values
Formation energy (no corrections) = -0.398 eV per atom
E_tot = -5.8243 eV per atom

a b c (Å): 5.5734 12.0832 6.1884
angles (deg): 90.00 91.97 90.00
Space group C2/m (No. 12)
Inequivalent atoms, fractional coordinates:
U (0.0000, 0.0000, 0.0000)
Rh (0.0000, 0.2891, 0.0000)
Se (0.0000, 0.5000, 0.0000)
Se (0.1670, 0.1666, 0.7237)